{"formula": "Cs5Tl11Cd2", "functional": "PBEsol", "state": "relaxed", "delta_e_f_ev_per_atom": -0.144, "vol_a3_per_cell": 655.3, "rho_g_cm3": 7.95, "dos_at_fermi_per_ev_atom": 0.268, "total_energy_ev_per_atom": -2.15, "lattice": [[-1.424, -3.787, -3.741], [10.629, -3.364, -0.642], [-4.958, -6.027, 7.988]], "species": ["Cs", "Cs", "Cs", "Cs", "Cs", "Tl", "Tl", "Tl", "Tl", "Tl", "Tl", "Tl", "Tl", "Tl", "Tl", "Tl", "Cd", "Cd"], "fractional_positions": [[0.500, 0.610, 0.230], [0.000, 0.892, 0.513], [0.500, 0.230, 0.610], [0.000, 0.513, 0.892], [0.500, 0.630, 0.630], [0.500, 0.290, 0.975], [0.000, 0.141, 0.344], [0.000, 0.838, 0.838], [0.500, 0.283, 0.283], [0.000, 0.837, 0.151], [0.500, 0.975, 0.290], [0.500, 0.789, 0.983], [0.000, 0.151, 0.837], [0.500, 0.983, 0.789], [0.000, 0.432, 0.432], [0.000, 0.344, 0.141], [0.750, 0.062, 0.062], [0.250, 0.062, 0.062]]}